# 1
{"formula": "Li12DyCd6", "functional": "PBE-GGA", "state": "optimized geometry", "cell": [[5.811, 3.355, 3.414], [-5.811, 3.355, 3.414], [0.000, -6.710, 3.414]], "species": ["Li", "Li", "Li", "Li", "Li", "Li", "Li", "Li", "Li", "Li", "Li", "Li", "Dy", "Cd", "Cd", "Cd", "Cd", "Cd", "Cd"], "frac_coords": [[0.000, 0.394, 0.606], [0.000, 0.606, 0.394], [0.065, 0.065, 0.338], [0.065, 0.338, 0.065], [0.338, 0.065, 0.065], [0.394, 0.000, 0.606], [0.394, 0.606, 0.000], [0.606, 0.000, 0.394], [0.606, 0.394, 0.000], [0.662, 0.935, 0.935], [0.935, 0.662, 0.935], [0.935, 0.935, 0.662], [0.500, 0.500, 0.500], [0.240, 0.737, 0.737], [0.263, 0.263, 0.760], [0.263, 0.760, 0.263], [0.737, 0.240, 0.737], [0.737, 0.737, 0.240], [0.760, 0.263, 0.263]], "magmom_total_mub_per_cell": 0.00, "total_energy_ev_per_atom": -1.79, "sg": "R-3m", "delta_e_f_kj_per_mol_atoms": -5}


# 2
{"formula": "NaHgN", "functional": "PBE-GGA", "state": "optimized geometry", "cell": [[17.298, 0.000, 0.000], [0.000, 4.744, 0.000], [-0.016, 0.000, 3.520]], "species": ["Na", "Na", "Na", "Na", "Hg", "Hg", "Hg", "Hg", "N", "N", "N", "N"], "frac_coords": [[0.118, 0.000, 0.496], [0.382, 0.500, 0.504], [0.618, 0.500, 0.496], [0.882, 0.000, 0.504], [0.196, 0.500, 0.999], [0.304, 0.000, 0.001], [0.696, 0.000, 0.999], [0.804, 0.500, 0.001], [0.000, 0.379, 0.500], [0.000, 0.621, 0.500], [0.500, 0.121, 0.500], [0.500, 0.879, 0.500]], "magmom_total_mub_per_cell": 0.00, "total_energy_ev_per_atom": -3.41, "e_form_raw_ev_per_fu": -0.3, "sg": "C2/m"}


# 3
{"formula": "SrSi3Cl", "functional": "PBE-GGA", "state": "optimized geometry", "cell": [[4.942, 0.000, 0.000], [0.000, 4.942, 0.000], [0.000, 0.000, 4.942]], "species": ["Sr", "Si", "Si", "Si", "Cl"], "frac_coords": [[0.000, 0.000, 0.000], [0.000, 0.500, 0.500], [0.500, 0.000, 0.500], [0.500, 0.500, 0.000], [0.500, 0.500, 0.500]], "magmom_total_mub_per_cell": 0.00, "total_energy_ev_per_atom": -3.37, "de_polymorph_mev_per_atom": 0, "e_form_raw_ev_per_fu": 2.9, "sg": "Pm-3m"}


# 4
{"formula": "Tm6Si2Sn", "functional": "PBE-GGA", "state": "optimized geometry", "cell": [[-4.669, 4.745, 5.075], [4.669, -4.745, 5.075], [4.669, 4.745, -5.075]], "species": ["Tm", "Tm", "Tm", "Tm", "Tm", "Tm", "Tm", "Tm", "Tm", "Tm", "Tm", "Tm", "Si", "Si", "Si", "Si", "Sn", "Sn"], "frac_coords": [[0.035, 0.241, 0.794], [0.186, 0.278, 0.464], [0.186, 0.722, 0.908], [0.321, 0.025, 0.704], [0.321, 0.616, 0.296], [0.447, 0.241, 0.206], [0.553, 0.759, 0.794], [0.679, 0.384, 0.704], [0.679, 0.975, 0.296], [0.814, 0.278, 0.092], [0.814, 0.722, 0.536], [0.965, 0.759, 0.206], [0.117, 0.617, 0.500], [0.370, 0.000, 0.370], [0.630, 0.000, 0.630], [0.883, 0.383, 0.500], [0.000, 0.000, 0.000], [0.500, 0.500, 0.000]], "magmom_total_mub_per_cell": 0.00, "total_energy_ev_per_atom": -5.22, "e_form_raw_ev_per_fu": -5.3, "sg": "Immm"}